Version P
Material: BaTaPt2
Method: DFT, PBE-GGA
State: optimized geometry

## Properties
N(E_F): 6.395 states/eV per cell
calculated volume: 21.63 Å³ per atom

Cell and atoms, written as CIF:
```
data_BaTaPt2
_cell_length_a 3.009
_cell_length_b 5.161
_cell_length_c 11.144
_cell_angle_alpha 90.00
_cell_angle_beta 90.00
_cell_angle_gamma 90.00
_symmetry_space_group_name_H-M 'I m m 2'
_symmetry_Int_Tables_number 44
loop_
_symmetry_equiv_pos_as_xyz
'x,y,z'
'-x,-y,z'
'-x,y,z'
'x,-y,z'
'x+1/2,y+1/2,z+1/2'
'-x+1/2,-y+1/2,z+1/2'
'-x+1/2,y+1/2,z+1/2'
'x+1/2,-y+1/2,z+1/2'
loop_
_atom_site_label
_atom_site_fract_x
_atom_site_fract_y
_atom_site_fract_z
Ba1 0.000 0.000 0.000
Ta1 0.000 0.500 0.789
Pt1 0.000 0.000 0.494
Pt2 0.000 0.500 0.227
```

---

Version Q
Material: BaTaPt2
Method: DFT, PBE-GGA
State: optimized geometry

## Properties
N(E_F): 9.559 states/eV per cell
calculated volume: 19.97 Å³ per atom

Cell and atoms, written as CIF:
```
data_BaTaPt2
_cell_length_a 6.837
_cell_length_b 6.837
_cell_length_c 6.837
_cell_angle_alpha 90.00
_cell_angle_beta 90.00
_cell_angle_gamma 90.00
_symmetry_space_group_name_H-M 'F -4 3 m'
_symmetry_Int_Tables_number 216
_symmetry_space_group_name_Hall 'F -4 2 3'
loop_
_atom_site_label
_atom_site_fract_x
_atom_site_fract_y
_atom_site_fract_z
Ba1 0.000 0.000 0.000
Ta1 0.250 0.250 0.250
Pt1 0.000 0.000 0.500
Pt2 0.250 0.250 0.750
```

---

Version R
Material: BaTaPt2
Method: DFT, PBE-GGA
State: optimized geometry

## Properties
N(E_F): 10.972 states/eV per cell
calculated volume: 26.04 Å³ per atom

Cell and atoms, written as CIF:
```
data_BaTaPt2
_cell_length_a 4.5123
_cell_length_b 4.5123
_cell_length_c 17.7198
_cell_angle_alpha 90.00
_cell_angle_beta 90.00
_cell_angle_gamma 120.00
_symmetry_space_group_name_H-M 'R 3 m'
_symmetry_Int_Tables_number 160
_symmetry_space_group_name_Hall 'R 3 -2"'
loop_
_atom_site_label
_atom_site_fract_x
_atom_site_fract_y
_atom_site_fract_z
Ba1 0.0000 0.0000 0.0000
Ta1 0.0000 0.0000 0.5015
Pt1 0.0000 0.0000 0.1964
Pt2 0.0000 0.0000 0.7990
```

---

Version S
Material: BaTaPt2
Method: DFT, PBE-GGA
State: optimized geometry

## Properties
N(E_F): 3.150 states/eV per cell
calculated volume: 23.64 Å³ per atom

Cell and atoms, written as CIF:
```
data_BaTaPt2
_cell_length_a 3.516
_cell_length_b 3.516
_cell_length_c 7.651
_cell_angle_alpha 90.00
_cell_angle_beta 90.00
_cell_angle_gamma 90.00
_symmetry_space_group_name_H-M 'P 4 m m'
_symmetry_Int_Tables_number 99
loop_
_symmetry_equiv_pos_as_xyz
'x,y,z'
'-y,x,z'
'-x,-y,z'
'y,-x,z'
'-x,y,z'
'y,x,z'
'x,-y,z'
'-y,-x,z'
loop_
_atom_site_label
_atom_site_fract_x
_atom_site_fract_y
_atom_site_fract_z
Ba1 0.000 0.000 0.000
Ta1 0.500 0.500 0.619
Pt1 0.000 0.000 0.491
Pt2 0.500 0.500 0.286
```

---

Most favorable first, least favorable last: version R, version S, version P, version Q

---

Version P
Material: BaTaPt2
Method: DFT, PBE-GGA
State: optimized geometry

## Properties
N(E_F): 24.103 states/eV per cell
calculated volume: 27.63 Å³ per atom

Cell and atoms, written as CIF:
```
data_BaTaPt2
_cell_length_a 7.655
_cell_length_b 7.655
_cell_length_c 7.543
_cell_angle_alpha 90.00
_cell_angle_beta 90.00
_cell_angle_gamma 90.00
_symmetry_space_group_name_H-M 'I -4 2 d'
_symmetry_Int_Tables_number 122
_symmetry_space_group_name_Hall 'I -4 2bw'
loop_
_atom_site_label
_atom_site_fract_x
_atom_site_fract_y
_atom_site_fract_z
Ba1 0.000 0.000 0.000
Ta1 0.000 0.000 0.500
Pt1 0.170 0.750 0.625
```

---

Version Q
Material: BaTaPt2
Method: DFT, PBE-GGA
State: optimized geometry

## Properties
N(E_F): 16.650 states/eV per cell
calculated volume: 21.72 Å³ per atom

Cell and atoms, written as CIF:
```
data_BaTaPt2
_cell_length_a 7.031
_cell_length_b 7.031
_cell_length_c 7.031
_cell_angle_alpha 90.00
_cell_angle_beta 90.00
_cell_angle_gamma 90.00
_symmetry_space_group_name_H-M 'F m -3 m'
_symmetry_Int_Tables_number 225
_symmetry_space_group_name_Hall '-F 4 2 3'
loop_
_atom_site_label
_atom_site_fract_x
_atom_site_fract_y
_atom_site_fract_z
Ba1 0.000 0.000 0.000
Ta1 0.000 0.000 0.500
Pt1 0.250 0.250 0.250
```

---

Most favorable first, least favorable last: version P, version Q

---

Version P
Material: BaTaPt2
Method: DFT, PBE-GGA
State: optimized geometry

## Properties
N(E_F): 6.843 states/eV per cell
calculated volume: 25.29 Å³ per atom

Cell and atoms, written as CIF:
```
data_BaTaPt2
_cell_length_a 4.106
_cell_length_b 5.996
_cell_length_c 8.218
_cell_angle_alpha 90.00
_cell_angle_beta 90.00
_cell_angle_gamma 90.00
_symmetry_space_group_name_H-M 'I m m m'
_symmetry_Int_Tables_number 71
_symmetry_space_group_name_Hall '-I 2 2'
loop_
_atom_site_label
_atom_site_fract_x
_atom_site_fract_y
_atom_site_fract_z
Ba1 0.000 0.000 0.000
Ta1 0.000 0.000 0.500
Pt1 0.000 0.500 0.190
```

---

Version Q
Material: BaTaPt2
Method: DFT, PBE-GGA
State: optimized geometry

## Properties
N(E_F): 2.324 states/eV per cell
calculated volume: 21.22 Å³ per atom

Cell and atoms, written as CIF:
```
data_BaTaPt2
_cell_length_a 5.324
_cell_length_b 5.324
_cell_length_c 2.994
_cell_angle_alpha 90.00
_cell_angle_beta 90.00
_cell_angle_gamma 90.00
_symmetry_space_group_name_H-M 'P 4/m m m'
_symmetry_Int_Tables_number 123
_symmetry_space_group_name_Hall '-P 4 2'
loop_
_atom_site_label
_atom_site_fract_x
_atom_site_fract_y
_atom_site_fract_z
Ba1 0.000 0.000 0.000
Ta1 0.500 0.500 0.000
Pt1 0.000 0.500 0.500
```

---

Most favorable first, least favorable last: version Q, version P

---

Version P
Material: BaTa3Pt
Method: DFT, PBE-GGA
State: optimized geometry

## Properties
N(E_F): 7.017 states/eV per cell
calculated volume: 25.96 Å³ per atom

Cell and atoms, written as CIF:
```
data_BaTa3Pt
_cell_length_a 5.063
_cell_length_b 5.063
_cell_length_c 5.063
_cell_angle_alpha 90.00
_cell_angle_beta 90.00
_cell_angle_gamma 90.00
_symmetry_space_group_name_H-M 'P m -3 m'
_symmetry_Int_Tables_number 221
_symmetry_space_group_name_Hall '-P 4 2 3'
loop_
_atom_site_label
_atom_site_fract_x
_atom_site_fract_y
_atom_site_fract_z
Ba1 0.000 0.000 0.000
Ta1 0.000 0.500 0.500
Pt1 0.500 0.500 0.500
```

---

Version Q
Material: BaTa3Pt
Method: DFT, PBE-GGA
State: optimized geometry

## Properties
N(E_F): 4.213 states/eV per cell
calculated volume: 24.56 Å³ per atom

Cell and atoms, written as CIF:
```
data_BaTa3Pt
_cell_length_a 4.971
_cell_length_b 4.971
_cell_length_c 4.971
_cell_angle_alpha 90.00
_cell_angle_beta 90.00
_cell_angle_gamma 90.00
_symmetry_space_group_name_H-M 'P m -3 m'
_symmetry_Int_Tables_number 221
_symmetry_space_group_name_Hall '-P 4 2 3'
loop_
_atom_site_label
_atom_site_fract_x
_atom_site_fract_y
_atom_site_fract_z
Ba1 0.000 0.000 0.000
Ta1 0.000 0.000 0.500
Pt1 0.500 0.500 0.500
```

---

Most favorable first, least favorable last: version P, version Q

---

Version P
Material: BaTe2Pt
Method: DFT, PBE-GGA
State: optimized geometry

## Properties
N(E_F): 3.984 states/eV per cell
calculated volume: 30.28 Å³ per atom

Cell and atoms, written as CIF:
```
data_BaTe2Pt
_cell_length_a 4.205
_cell_length_b 5.442
_cell_length_c 10.586
_cell_angle_alpha 90.00
_cell_angle_beta 90.00
_cell_angle_gamma 90.00
_symmetry_space_group_name_H-M 'I m m 2'
_symmetry_Int_Tables_number 44
loop_
_symmetry_equiv_pos_as_xyz
'x,y,z'
'-x,-y,z'
'-x,y,z'
'x,-y,z'
'x+1/2,y+1/2,z+1/2'
'-x+1/2,-y+1/2,z+1/2'
'-x+1/2,y+1/2,z+1/2'
'x+1/2,-y+1/2,z+1/2'
loop_
_atom_site_label
_atom_site_fract_x
_atom_site_fract_y
_atom_site_fract_z
Ba1 0.000 0.000 0.000
Te1 0.000 0.000 0.457
Te2 0.000 0.500 0.226
Pt1 0.000 0.500 0.805
```

---

Version Q
Material: BaTe2Pt
Method: DFT, PBE-GGA
State: optimized geometry

## Properties
N(E_F): 16.908 states/eV per cell
calculated volume: 28.87 Å³ per atom

Cell and atoms, written as CIF:
```
data_BaTe2Pt
_cell_length_a 7.731
_cell_length_b 7.731
_cell_length_c 7.731
_cell_angle_alpha 90.00
_cell_angle_beta 90.00
_cell_angle_gamma 90.00
_symmetry_space_group_name_H-M 'F -4 3 m'
_symmetry_Int_Tables_number 216
_symmetry_space_group_name_Hall 'F -4 2 3'
loop_
_atom_site_label
_atom_site_fract_x
_atom_site_fract_y
_atom_site_fract_z
Ba1 0.000 0.000 0.000
Te1 0.000 0.000 0.500
Te2 0.250 0.250 0.750
Pt1 0.250 0.250 0.250
```

---

Version R
Material: BaTe2Pt
Method: DFT, PBE-GGA
State: optimized geometry

## Properties
N(E_F): 0.923 states/eV per cell
calculated volume: 33.70 Å³ per atom

Cell and atoms, written as CIF:
```
data_BaTe2Pt
_cell_length_a 4.897
_cell_length_b 4.111
_cell_length_c 6.909
_cell_angle_alpha 90.00
_cell_angle_beta 104.27
_cell_angle_gamma 90.00
_symmetry_space_group_name_H-M 'P 1 2/m 1'
_symmetry_Int_Tables_number 10
loop_
_symmetry_equiv_pos_as_xyz
'x,y,z'
'-x,-y,-z'
'-x,y,-z'
'x,-y,z'
loop_
_atom_site_label
_atom_site_fract_x
_atom_site_fract_y
_atom_site_fract_z
Ba1 0.000 0.000 0.000
Te1 0.423 0.500 0.726
Pt1 0.500 0.000 0.500
```

---

Version S
Material: BaTe2Pt
Method: DFT, PBE-GGA
State: optimized geometry

## Properties
N(E_F): 0.496 states/eV per cell
calculated volume: 35.56 Å³ per atom

Cell and atoms, written as CIF:
```
data_BaTe2Pt
_cell_length_a 4.296
_cell_length_b 8.181
_cell_length_c 8.094
_cell_angle_alpha 90.00
_cell_angle_beta 90.00
_cell_angle_gamma 90.00
_symmetry_space_group_name_H-M 'C m m m'
_symmetry_Int_Tables_number 65
_symmetry_space_group_name_Hall '-C 2 2'
loop_
_atom_site_label
_atom_site_fract_x
_atom_site_fract_y
_atom_site_fract_z
Ba1 0.000 0.000 0.000
Te1 0.000 0.500 0.303
Pt1 0.000 0.000 0.500
```

---

Most favorable first, least favorable last: version R, version S, version P, version Q

---

Version P
Material: Ba2TePt2
Method: DFT, PBE-GGA
State: optimized geometry

## Properties
N(E_F): 0.000 states/eV per cell
calculated volume: 31.66 Å³ per atom

Cell and atoms, written as CIF:
```
data_Ba2TePt2
_cell_length_a 6.230
_cell_length_b 6.230
_cell_length_c 8.158
_cell_angle_alpha 90.00
_cell_angle_beta 90.00
_cell_angle_gamma 90.00
_symmetry_space_group_name_H-M 'I 4/m m m'
_symmetry_Int_Tables_number 139
_symmetry_space_group_name_Hall '-I 4 2'
loop_
_atom_site_label
_atom_site_fract_x
_atom_site_fract_y
_atom_site_fract_z
Ba1 0.000 0.500 0.250
Te1 0.000 0.000 0.000
Pt1 0.000 0.000 0.343
```

---

Version Q
Material: Ba2TePt2
Method: DFT, PBE-GGA
State: optimized geometry

## Properties
N(E_F): 0.560 states/eV per cell
calculated volume: 29.29 Å³ per atom

Cell and atoms, written as CIF:
```
data_Ba2TePt2
_cell_length_a 8.046
_cell_length_b 8.046
_cell_length_c 4.525
_cell_angle_alpha 90.00
_cell_angle_beta 90.00
_cell_angle_gamma 90.00
_symmetry_space_group_name_H-M 'P 4/m b m'
_symmetry_Int_Tables_number 127
_symmetry_space_group_name_Hall '-P 4 2ab'
loop_
_atom_site_label
_atom_site_fract_x
_atom_site_fract_y
_atom_site_fract_z
Ba1 0.182 0.318 0.000
Te1 0.000 0.000 0.500
Pt1 0.117 0.617 0.500
```

---

Most favorable first, least favorable last: version P, version Q